Record 1
Compound: TbSmZnCo
Source: Alexandria
Functional: PBE
Structure: optimized geometry

Geometry as POSCAR:
```
TbSmZnCo
1.0
-1.276 -1.362 3.425
3.974 -1.334 0.950
1.679 5.390 0.548
Tb Sm Co Zn
1 1 1 1
direct
0.860 0.500 0.719
0.140 0.000 0.281
0.436 0.000 0.872
0.564 0.500 0.128
```

Calculated values
space-group type: Amm2, No. 38
total magnetization: 0.00 μB per atom
excess energy over the best structure of this formula in the dataset: 0.00 eV/f.u.
density of states at the Fermi level: 3.62 states/eV/cell
theoretical density: 8.063 Mg/m³
energy: -4.632 eV per atom



Record 2
Compound: TbSmZnCo
Source: Alexandria
Functional: PBE
Structure: optimized geometry

Geometry as POSCAR:
```
TbSmZnCo
1.0
4.939 0.000 0.000
2.469 4.277 0.000
2.469 1.426 4.032
Zn Tb Sm Co
1 1 1 1
direct
0.500 0.500 0.500
0.250 0.250 0.250
0.750 0.750 0.750
0.000 0.000 0.000
```

Calculated values
space-group type: F-43m, No. 216
total magnetization: 0.00 μB per atom
excess energy over the best structure of this formula in the dataset: 0.07 eV/f.u.
density of states at the Fermi level: 2.59 states/eV/cell
theoretical density: 8.454 Mg/m³
energy: -4.613 eV per atom



Record 3
Compound: SmCoTc
Source: Alexandria
Functional: PBE
Structure: optimized geometry

Geometry as POSCAR:
```
SmCoTc
1.0
4.328 0.000 2.430
1.474 4.531 2.444
-0.159 0.066 5.352
Tc Sm Co
2 2 2
direct
0.500 0.000 0.000
0.000 0.000 0.000
0.880 0.370 0.370
0.120 0.630 0.630
0.500 0.000 0.500
0.500 0.500 0.000
```

Calculated values
space-group type: Imma, No. 74
total magnetization: 0.40 μB per atom
excess energy over the best structure of this formula in the dataset: 0.00 eV/f.u.
density of states at the Fermi level: 5.44 states/eV/cell
theoretical density: 9.607 Mg/m³
energy: -7.462 eV per atom



Record 4
Compound: Sm2Co2Tc
Source: Alexandria
Functional: PBE
Structure: optimized geometry

Geometry as POSCAR:
```
Sm2Co2Tc
1.0
-2.207 -0.249 4.985
-3.091 -4.313 1.276
5.108 -4.306 3.498
Sm Co Tc
4 4 2
direct
0.768 0.535 0.347
0.232 0.465 0.653
0.465 0.232 0.153
0.535 0.768 0.847
0.002 0.244 0.997
0.756 0.998 0.503
0.244 0.002 0.497
0.998 0.756 0.003
0.115 0.885 0.250
0.885 0.115 0.750
```

Calculated values
space-group type: C2/c, No. 15
total magnetization: 0.00 μB per atom
density of states at the Fermi level: 11.18 states/eV/cell
theoretical density: 8.887 Mg/m³
energy: -6.873 eV per atom



Question: What is the formula in the fourth record?
Answer: Sm2Co2Tc



Please write out number 1 again, unchanged.
Compound: TbSmZnCo
Source: Alexandria
Functional: PBE
Structure: optimized geometry

Geometry as POSCAR:
```
TbSmZnCo
1.0
-1.276 -1.362 3.425
3.974 -1.334 0.950
1.679 5.390 0.548
Tb Sm Co Zn
1 1 1 1
direct
0.860 0.500 0.719
0.140 0.000 0.281
0.436 0.000 0.872
0.564 0.500 0.128
```

Calculated values
space-group type: Amm2, No. 38
total magnetization: 0.00 μB per atom
excess energy over the best structure of this formula in the dataset: 0.00 eV/f.u.
density of states at the Fermi level: 3.62 states/eV/cell
theoretical density: 8.063 Mg/m³
energy: -4.632 eV per atom